## a
Compound: LiZrPt
Source: Alexandria via LeMat-Bulk
Functional: PBE
Structure: relaxed

Cell lengths 6.369, 4.686, 6.320 Å; angles 69.97, 59.74, 47.19 degrees
Sites, in units of the cell vectors:
Zr1 0.250 0.500 0.500
Pt1 0.376 0.000 0.247
Pt2 0.624 0.000 0.753
Zr2 0.750 0.500 0.500
Li1 0.827 0.346 0.000
Li2 0.173 0.654 0.000

calculated density = 8.1 g/cm3
spin magnetization = 0.0 Bohr magnetons per cell
SG = Fmmm

## b
Compound: LiZrPt
Source: Alexandria via LeMat-Bulk
Functional: PBE
Structure: relaxed

Cell lengths 3.793, 3.793, 7.620 Å; angles 90.00, 90.00, 90.00 degrees
Sites, in units of the cell vectors:
Zr1 0.000 0.000 0.650
Li1 0.500 0.000 0.000
Pt1 0.000 0.000 0.278
Zr2 0.500 0.500 0.350
Li2 0.000 0.500 0.000
Pt2 0.500 0.500 0.722

calculated density = 8.9 g/cm3
spin magnetization = 0.0 Bohr magnetons per cell
SG = P4/nmm

In terms of stability, b leads; the second structure lies 0.116 eV/atom higher.

## a
Compound: LiZrPt
Source: Alexandria via LeMat-Bulk
Functional: PBE
Structure: relaxed

Cell lengths 4.470, 4.470, 2.902 Å; angles 90.00, 90.00, 120.00 degrees
Sites, in units of the cell vectors:
Li1 0.000 0.000 0.102
Pt1 0.667 0.333 0.234
Zr1 0.333 0.667 0.664

calculated density = 9.7 g/cm3
spin magnetization = 0.0 Bohr magnetons per cell
SG = P3m1

## b
Compound: LiZrPt
Source: Alexandria via LeMat-Bulk
Functional: PBE
Structure: relaxed

Cell lengths 3.517, 3.517, 4.900 Å; angles 111.03, 111.03, 90.00 degrees
Sites, in units of the cell vectors:
Li1 0.290 0.290 0.581
Pt1 0.955 0.955 0.910
Zr1 0.605 0.605 0.210

calculated density = 9.3 g/cm3
spin magnetization = 0.0 Bohr magnetons per cell
SG = I4mm

## c
Compound: LiZrPt
Source: Alexandria via LeMat-Bulk
Functional: PBE
Structure: relaxed

Cell lengths 4.421, 4.421, 4.421 Å; angles 60.00, 60.00, 60.00 degrees
Sites, in units of the cell vectors:
Li1 0.000 0.000 0.000
Pt1 0.500 0.500 0.500
Zr1 0.750 0.750 0.750

calculated density = 8.0 g/cm3
spin magnetization = 0.0 Bohr magnetons per cell
SG = F-43m

In terms of stability, b leads; the second structure lies 0.045 eV/atom higher.

## a
Compound: LiZrPt2
Source: Alexandria via LeMat-Bulk
Functional: PBE
Structure: relaxed

Cell lengths 5.078, 5.078, 4.887 Å; angles 81.52, 81.52, 32.83 degrees
Sites, in units of the cell vectors:
Li1 0.734 0.734 0.809
Zr1 0.518 0.518 0.458
Pt1 0.262 0.262 0.276
Pt2 0.986 0.986 0.957

calculated density = 12.0 g/cm3
spin magnetization = 0.0 Bohr magnetons per cell
SG = Cm

## b
Compound: LiZrPt2
Source: Alexandria via LeMat-Bulk
Functional: PBE
Structure: relaxed

Cell lengths 4.550, 4.550, 4.550 Å; angles 60.00, 60.00, 60.00 degrees
Sites, in units of the cell vectors:
Pt1 0.250 0.250 0.250
Pt2 0.750 0.750 0.750
Li1 0.000 0.000 0.000
Zr1 0.500 0.500 0.500

calculated density = 12.2 g/cm3
spin magnetization = 0.0 Bohr magnetons per cell
SG = Fm-3m

## c
Compound: LiZrPt2
Source: Alexandria via LeMat-Bulk
Functional: PBE
Structure: relaxed

Cell lengths 5.080, 5.080, 5.080 Å; angles 134.83, 134.83, 65.80 degrees
Sites, in units of the cell vectors:
Li1 0.750 0.250 0.500
Zr1 0.500 0.500 0.000
Pt1 0.000 0.000 0.000
Pt2 0.250 0.750 0.500

calculated density = 12.5 g/cm3
spin magnetization = 0.0 Bohr magnetons per cell
SG = I-4m2

In terms of stability, b leads; the second structure lies 0.033 eV/atom higher.

## a
Compound: LiZrPt2
Source: Alexandria via LeMat-Bulk
Functional: PBE
Structure: relaxed

Cell lengths 6.769, 4.432, 3.406 Å; angles 90.02, 59.76, 124.76 degrees
Sites, in units of the cell vectors:
Li1 0.500 0.500 0.000
Pt1 0.000 0.000 0.000
Zr1 0.000 0.500 0.500
Pt2 0.500 0.000 0.500

calculated density = 12.2 g/cm3
spin magnetization = 0.0 Bohr magnetons per cell
SG = Cmmm

## b
Compound: LiZrPt2
Source: Alexandria via LeMat-Bulk
Functional: PBE
Structure: relaxed

Cell lengths 9.152, 9.152, 9.152 Å; angles 18.34, 18.34, 18.34 degrees
Sites, in units of the cell vectors:
Pt1 0.496 0.496 0.496
Li1 0.750 0.750 0.750
Zr1 0.250 0.250 0.250
Pt2 0.004 0.004 0.004

calculated density = 12.2 g/cm3
spin magnetization = 0.0 Bohr magnetons per cell
SG = R-3m

## c
Compound: LiZrPt2
Source: Alexandria via LeMat-Bulk
Functional: PBE
Structure: relaxed

Cell lengths 2.887, 4.199, 5.493 Å; angles 90.00, 90.00, 90.00 degrees
Sites, in units of the cell vectors:
Zr1 0.000 0.000 0.482
Pt1 0.000 0.000 0.957
Li1 0.500 0.500 0.795
Pt2 0.500 0.500 0.266

calculated density = 12.2 g/cm3
spin magnetization = 0.0 Bohr magnetons per cell
SG = Pmm2

In terms of stability, a leads; the second structure lies 0.152 eV/atom higher.

## a
Compound: LiZrPt2
Source: Alexandria via LeMat-Bulk
Functional: PBE
Structure: relaxed

Cell lengths 7.034, 7.034, 5.716 Å; angles 52.03, 52.03, 90.00 degrees
Sites, in units of the cell vectors:
Zr1 0.750 0.250 0.500
Zr2 0.000 0.000 0.000
Pt1 0.375 0.389 0.750
Pt2 0.611 0.125 0.250
Li1 0.250 0.750 0.500
Li2 0.500 0.500 0.000
Pt3 0.875 0.861 0.750
Pt4 0.139 0.625 0.250

calculated density = 11.6 g/cm3
spin magnetization = 0.0 Bohr magnetons per cell
SG = I-42d

## b
Compound: LiZrPt2
Source: Alexandria via LeMat-Bulk
Functional: PBE
Structure: relaxed

Cell lengths 3.716, 4.190, 4.190 Å; angles 90.00, 90.00, 90.00 degrees
Sites, in units of the cell vectors:
Li1 0.500 0.000 0.500
Pt1 0.000 0.000 0.000
Pt2 0.000 0.500 0.500
Zr1 0.500 0.500 0.000

calculated density = 12.4 g/cm3
spin magnetization = 0.0 Bohr magnetons per cell
SG = P4/mmm

## c
Compound: LiZrPt2
Source: Alexandria via LeMat-Bulk
Functional: PBE
Structure: relaxed

Cell lengths 3.404, 3.378, 6.646 Å; angles 59.46, 90.00, 90.00 degrees
Sites, in units of the cell vectors:
Li1 0.500 0.750 0.750
Zr1 0.500 0.250 0.250
Pt1 0.000 0.012 0.988
Pt2 0.000 0.488 0.512

calculated density = 12.3 g/cm3
spin magnetization = 0.0 Bohr magnetons per cell
SG = Pmmm

In terms of stability, c leads; the second structure lies 0.086 eV/atom higher.

## a
Compound: LiZrPt2
Source: Alexandria via LeMat-Bulk
Functional: PBE
Structure: relaxed

Cell lengths 2.863, 2.863, 8.233 Å; angles 90.00, 90.00, 90.00 degrees
Sites, in units of the cell vectors:
Pt1 0.500 0.500 0.236
Li1 0.500 0.500 0.791
Zr1 0.000 0.000 0.486
Pt2 0.000 0.000 0.987

calculated density = 12.0 g/cm3
spin magnetization = 0.0 Bohr magnetons per cell
SG = P4mm

## b
Compound: LiZrPt2
Source: Alexandria via LeMat-Bulk
Functional: PBE
Structure: relaxed

Cell lengths 4.136, 4.136, 4.789 Å; angles 115.58, 115.58, 90.00 degrees
Sites, in units of the cell vectors:
Pt1 0.750 0.750 0.500
Li1 0.500 0.000 0.000
Zr1 0.000 0.500 0.000
Pt2 0.250 0.250 0.500

calculated density = 12.5 g/cm3
spin magnetization = 0.0 Bohr magnetons per cell
SG = I4/mmm

In terms of stability, b leads; the second structure lies 0.591 eV/atom higher.

## a
Compound: Li3Pu
Source: Alexandria via LeMat-Bulk
Functional: PBE
Structure: relaxed

Cell lengths 2.893, 5.187, 5.930 Å; angles 90.00, 90.00, 90.00 degrees
Sites, in units of the cell vectors:
Li1 0.500 0.500 0.808
Li2 0.000 0.000 0.995
Li3 0.500 0.000 0.555
Pu1 0.000 0.500 0.308

calculated density = 4.9 g/cm3
spin magnetization = 6.7 Bohr magnetons per cell
SG = Pmm2

## b
Compound: Li3Pu
Source: Alexandria via LeMat-Bulk
Functional: PBE
Structure: relaxed

Cell lengths 5.082, 5.082, 5.082 Å; angles 60.00, 60.00, 60.00 degrees
Sites, in units of the cell vectors:
Li1 0.250 0.250 0.250
Li2 0.500 0.500 0.500
Pu1 0.000 0.000 0.000
Li3 0.750 0.750 0.750

calculated density = 4.7 g/cm3
spin magnetization = 7.9 Bohr magnetons per cell
SG = Fm-3m

## c
Compound: Li3Pu
Source: Alexandria via LeMat-Bulk
Functional: PBE
Structure: relaxed

Cell lengths 5.800, 5.800, 5.800 Å; angles 135.56, 135.56, 64.66 degrees
Sites, in units of the cell vectors:
Li1 0.250 0.750 0.500
Li2 0.500 0.500 0.000
Li3 0.750 0.250 0.500
Pu1 0.000 0.000 0.000

calculated density = 4.7 g/cm3
spin magnetization = 6.6 Bohr magnetons per cell
SG = I4/mmm

In terms of stability, a leads; the second structure lies 0.160 eV/atom higher.

## a
Compound: LiPu2Rh2
Source: Alexandria via LeMat-Bulk
Functional: PBE
Structure: relaxed

Cell lengths 4.646, 4.646, 5.653 Å; angles 65.66, 65.66, 59.99 degrees
Sites, in units of the cell vectors:
Li1 0.000 0.500 0.000
Pu1 0.784 0.284 0.648
Pu2 0.216 0.716 0.352
Rh1 0.600 0.100 0.202
Rh2 0.400 0.900 0.798

calculated density = 12.5 g/cm3
spin magnetization = 10.5 Bohr magnetons per cell
SG = C2/m

## b
Compound: LiPu2Rh2
Source: Alexandria via LeMat-Bulk
Functional: PBE
Structure: relaxed

Cell lengths 4.286, 5.347, 5.347 Å; angles 95.14, 113.58, 113.58 degrees
Sites, in units of the cell vectors:
Rh1 0.761 0.262 0.262
Rh2 0.239 0.738 0.738
Pu1 0.500 0.703 0.297
Li1 0.000 0.000 0.000
Pu2 0.500 0.297 0.703

calculated density = 11.8 g/cm3
spin magnetization = 10.8 Bohr magnetons per cell
SG = Immm

In terms of stability, b leads; the second structure lies 0.042 eV/atom higher.

## a
Compound: Li3Pu2Rh4
Source: Alexandria via LeMat-Bulk
Functional: PBE
Structure: relaxed

Cell lengths 4.402, 4.403, 8.670 Å; angles 89.97, 90.00, 60.00 degrees
Sites, in units of the cell vectors:
Rh1 0.333 0.333 0.110
Pu1 0.667 0.666 0.219
Rh2 0.667 0.667 0.890
Li1 0.333 0.333 0.440
Pu2 0.333 0.334 0.781
Rh3 0.000 0.000 0.337
Li2 0.000 0.000 0.000
Rh4 0.000 0.000 0.663
Li3 0.667 0.667 0.560

calculated density = 10.5 g/cm3
spin magnetization = 9.0 Bohr magnetons per cell
SG = P-3m1

## b
Compound: Li3Pu2Rh4
Source: Alexandria via LeMat-Bulk
Functional: PBE
Structure: relaxed

Cell lengths 5.524, 7.996, 7.213 Å; angles 90.00, 112.52, 90.00 degrees
Sites, in units of the cell vectors:
Li1 0.553 0.750 0.607
Rh1 0.188 0.966 0.375
Li2 0.500 0.500 0.000
Li3 0.053 0.750 0.607
Pu1 0.126 0.576 0.252
Pu2 0.374 0.076 0.748
Rh2 0.812 0.034 0.625
Li4 0.447 0.250 0.393
Rh3 0.760 0.250 0.021
Li5 0.947 0.250 0.393
Pu3 0.626 0.924 0.252
Rh4 0.688 0.534 0.375
Rh5 0.260 0.250 0.021
Pu4 0.874 0.424 0.748
Rh6 0.740 0.750 0.979
Li6 0.000 0.000 0.000
Rh7 0.312 0.466 0.625
Rh8 0.240 0.750 0.979

calculated density = 10.4 g/cm3
spin magnetization = 17.3 Bohr magnetons per cell
SG = Cmce

In terms of stability, a leads; the second structure lies 0.175 eV/atom higher.

## a
Compound: Li2Pu3Rh4
Source: Alexandria via LeMat-Bulk
Functional: PBE
Structure: relaxed

Cell lengths 4.541, 4.543, 8.830 Å; angles 90.11, 90.00, 119.99 degrees
Sites, in units of the cell vectors:
Pu1 0.666 0.333 0.424
Rh1 0.000 0.001 0.672
Rh2 0.333 0.666 0.898
Li1 0.667 0.334 0.793
Pu2 0.000 0.000 0.000
Rh3 0.000 0.999 0.328
Pu3 0.334 0.667 0.576
Li2 0.333 0.666 0.207
Rh4 0.667 0.334 0.102

calculated density = 12.2 g/cm3
spin magnetization = 5.6 Bohr magnetons per cell
SG = C2/m

## b
Compound: Li2Pu3Rh4
Source: Alexandria via LeMat-Bulk
Functional: PBE
Structure: relaxed

Cell lengths 5.164, 8.073, 8.073 Å; angles 74.95, 92.60, 92.60 degrees
Sites, in units of the cell vectors:
Rh1 0.050 0.261 0.879
Rh2 0.640 0.446 0.234
Rh3 0.360 0.554 0.766
Rh4 0.950 0.739 0.121
Li1 0.881 0.581 0.871
Rh5 0.860 0.766 0.554
Rh6 0.450 0.121 0.739
Li2 0.119 0.419 0.129
Pu1 0.933 0.976 0.758
Rh7 0.140 0.234 0.446
Pu2 0.567 0.242 0.024
Li3 0.619 0.129 0.419
Rh8 0.550 0.879 0.261
Pu3 0.433 0.758 0.976
Pu4 0.750 0.408 0.592
Pu5 0.250 0.592 0.408
Pu6 0.067 0.024 0.242
Li4 0.381 0.871 0.581

calculated density = 11.8 g/cm3
spin magnetization = 29.3 Bohr magnetons per cell
SG = C2/c

In terms of stability, a leads; the second structure lies 0.043 eV/atom higher.